Material: DyTlInPt
Method: DFT, PBE
State: relaxed

**ΔE_f**: -189 kJ/mol of formula units
**DFT total energy**: -4.428 eV/atom
**Density of states at the Fermi level**: 2.98 states/eV/cell
**Size of the total moment**: 0.000 μB/f.u.

Cell and atoms, written as POSCAR:
```
DyTlInPt
1.0
-3.728 1.261 3.133
-1.511 -3.236 3.543
0.991 0.930 4.844
Tl In Pt Dy
1 1 1 1
direct
0.250 0.250 0.250
0.500 0.500 0.500
0.750 0.750 0.750
0.000 0.000 0.000
```